Ba8LiRh2 | PBE | relaxed

Cell lengths 13.839, 12.454, 6.471 Å; angles 90.00, 96.16, 90.00 degrees
Space group C2/m (No. 12)
One atom of each set of equivalent atoms:
Ba: 0.112 0.000 0.260 (multiplicity 4)
Ba: 0.121 0.243 0.743 (multiplicity 8)
Ba: 0.165 0.500 0.176 (multiplicity 4)
Li: 0.000 0.500 0.500 (multiplicity 2)
Rh: 0.124 0.000 0.763 (multiplicity 4)

Output
Calculated volume ... 554.41 Å³/f.u.
Energy of formation ... -64 meV/atom